(1)
# LiMn2Cu

LiMn2Cu after structural relaxation (PBEsol, the Alexandria database). Values from VASP.

```
&SYSTEM
  ibrav = 0, nat = 4, ntyp = 3
/
ATOMIC_SPECIES
Li 6.94 Li.upf
Mn 54.94 Mn.upf
Cu 63.55 Cu.upf
CELL_PARAMETERS angstrom
-2.025 2.025 2.819
2.025 -2.025 2.819
2.025 2.025 -2.819
ATOMIC_POSITIONS crystal
Li 0.000 0.000 0.000
Mn 0.500 0.500 0.000
Mn 0.750 0.250 0.500
Cu 0.250 0.750 0.500
```

## Properties
Magnetization (μB per formula unit): 0.698
DFT total energy (eV per atom): -6.135

---

(2)
# KTc2Te

KTc2Te after structural relaxation (PBEsol, the Alexandria database). Values from VASP.

```
&SYSTEM
  ibrav = 0, nat = 4, ntyp = 3
/
ATOMIC_SPECIES
K 39.10 K.upf
Tc 98.00 Tc.upf
Te 127.60 Te.upf
CELL_PARAMETERS angstrom
5.117 -1.833 0.000
5.117 1.833 0.000
-1.707 0.000 5.818
ATOMIC_POSITIONS crystal
K 0.000 0.000 0.000
Tc 0.214 0.214 0.578
Tc 0.786 0.786 0.422
Te 0.500 0.500 0.500
```

## Properties
Formation energy without anion corrections (kcal/mol of atoms): 15.70
Magnetization (μB per formula unit): 0.028

---

(3)
# KPtW2

KPtW2 after structural relaxation (PBEsol, the Alexandria database). Values from VASP.

```
&SYSTEM
  ibrav = 0, nat = 4, ntyp = 3
/
ATOMIC_SPECIES
K 39.10 K.upf
Pt 195.08 Pt.upf
W 183.84 W.upf
CELL_PARAMETERS angstrom
2.703 0.000 0.000
0.000 5.019 0.000
0.000 0.000 5.224
ATOMIC_POSITIONS crystal
K 0.000 0.000 0.000
Pt 0.500 0.500 0.000
W 0.000 0.500 0.500
W 0.500 0.000 0.500
```

## Properties
Distance to the lowest polymorph of the same formula (meV/atom): 304
Magnetization (μB per formula unit): 0.838